1.
A geometry-optimized Pm2Er3Tm2 structure. Source: Alexandria via LeMat-Bulk, functional PBE-GGA.

Properties
energy of formation from the pure elements	1.6	eV/f.u.
DOS at the Fermi energy	1.31	states/eV per atom
E above lowest polymorph	1.47	eV/f.u.

a = 8.379 Å, b = 8.379 Å, c = 8.379 Å
α = 109.47°, β = 109.47°, γ = 109.47°
Fractional positions:
Pm 0.000 0.000 0.810
Pm 0.500 0.810 0.500
Pm 0.190 0.690 0.690
Pm 0.310 0.500 0.000
Er 0.691 0.750 0.941
Er 0.809 0.250 0.559
Er 0.059 0.309 0.250
Er 0.441 0.191 0.750
Er 0.250 0.941 0.191
Er 0.750 0.559 0.309
Tm 0.000 0.000 0.409
Tm 0.500 0.409 0.500
Tm 0.591 0.091 0.091
Tm 0.909 0.500 0.000

2.
A geometry-optimized PmEr2Tm2 structure. Source: Alexandria via LeMat-Bulk, functional PBE-GGA.

Properties
energy of formation from the pure elements	0.4	eV/f.u.
DOS at the Fermi energy	1.06	states/eV per atom
E above lowest polymorph	0.00	eV/f.u.

a = 9.327 Å, b = 9.327 Å, c = 3.652 Å
α = 90.00°, β = 90.00°, γ = 90.00°
Fractional positions:
Pm 0.000 0.000 0.000
Pm 0.500 0.500 0.000
Er 0.327 0.827 0.500
Er 0.827 0.673 0.500
Er 0.673 0.173 0.500
Er 0.173 0.327 0.500
Tm 0.124 0.624 0.000
Tm 0.624 0.876 0.000
Tm 0.876 0.376 0.000
Tm 0.376 0.124 0.000

3.
A geometry-optimized Pm6Er3Tm2 structure. Source: Alexandria via LeMat-Bulk, functional PBE-GGA.

Properties
energy of formation from the pure elements	3.3	eV/f.u.
DOS at the Fermi energy	1.50	states/eV per atom
E above lowest polymorph	3.16	eV/f.u.

a = 4.748 Å, b = 4.748 Å, c = 17.062 Å
α = 98.00°, β = 98.00°, γ = 90.00°
Fractional positions:
Pm 0.120 0.620 0.240
Pm 0.620 0.120 0.240
Pm 0.880 0.380 0.760
Pm 0.380 0.880 0.760
Pm 0.701 0.701 0.401
Pm 0.299 0.299 0.599
Er 0.000 0.000 0.000
Er 0.803 0.803 0.606
Er 0.197 0.197 0.394
Tm 0.455 0.455 0.910
Tm 0.545 0.545 0.090

4.
A geometry-optimized PmEr4Tm3 structure. Source: Alexandria via LeMat-Bulk, functional PBE-GGA.

Properties
energy of formation from the pure elements	0.0	eV/f.u.
DOS at the Fermi energy	1.59	states/eV per atom
E above lowest polymorph	0.00	eV/f.u.

a = 6.215 Å, b = 7.198 Å, c = 11.137 Å
α = 90.00°, β = 90.00°, γ = 90.00°
Fractional positions:
Pm 0.148 0.374 0.000
Pm 0.648 0.626 0.500
Er 0.147 0.875 0.000
Er 0.649 0.124 0.000
Er 0.981 0.124 0.252
Er 0.481 0.876 0.248
Er 0.149 0.876 0.500
Er 0.647 0.125 0.500
Er 0.481 0.876 0.752
Er 0.981 0.124 0.748
Tm 0.647 0.626 0.000
Tm 0.981 0.626 0.250
Tm 0.481 0.374 0.250
Tm 0.147 0.374 0.500
Tm 0.481 0.374 0.750
Tm 0.981 0.626 0.750

5.
A geometry-optimized PmEr5Tm5 structure. Source: Alexandria via LeMat-Bulk, functional PBE-GGA.

Properties
energy of formation from the pure elements	3.7	eV/f.u.
DOS at the Fermi energy	1.45	states/eV per atom
E above lowest polymorph	0.50	eV/f.u.

a = 8.378 Å, b = 8.378 Å, c = 8.271 Å
α = 73.48°, β = 73.48°, γ = 40.32°
Fractional positions:
Pm 0.000 0.000 0.000
Er 0.762 0.762 0.830
Er 0.801 0.801 0.370
Er 0.500 0.500 0.000
Er 0.199 0.199 0.630
Er 0.238 0.238 0.170
Tm 0.595 0.595 0.620
Tm 0.618 0.618 0.234
Tm 0.000 0.000 0.500
Tm 0.382 0.382 0.766
Tm 0.405 0.405 0.380

6.
A geometry-optimized Pm7Er4Tm structure. Source: Alexandria via LeMat-Bulk, functional PBE-GGA.

Properties
energy of formation from the pure elements	2.7	eV/f.u.
DOS at the Fermi energy	1.58	states/eV per atom
E above lowest polymorph	2.63	eV/f.u.

a = 5.955 Å, b = 9.717 Å, c = 8.569 Å
α = 61.12°, β = 69.67°, γ = 72.16°
Fractional positions:
Pm 0.790 0.882 0.539
Pm 0.210 0.118 0.461
Pm 0.084 0.555 0.277
Pm 0.916 0.445 0.723
Pm 0.210 0.766 0.814
Pm 0.500 0.000 0.000
Pm 0.790 0.234 0.186
Er 0.571 0.302 0.556
Er 0.429 0.698 0.444
Er 0.672 0.614 0.042
Er 0.328 0.386 0.958
Tm 0.000 0.000 0.000

7.
A geometry-optimized Pm3Er2Tm5 structure. Source: Alexandria via LeMat-Bulk, functional PBE-GGA.

Properties
energy of formation from the pure elements	3.4	eV/f.u.
DOS at the Fermi energy	1.66	states/eV per atom
E above lowest polymorph	1.47	eV/f.u.

a = 6.243 Å, b = 11.019 Å, c = 11.019 Å
α = 99.48°, β = 73.54°, γ = 73.54°
Fractional positions:
Pm 0.250 0.000 0.000
Pm 0.750 0.000 0.000
Pm 0.342 0.405 0.912
Pm 0.658 0.595 0.088
Pm 0.842 0.912 0.405
Pm 0.158 0.088 0.595
Er 0.103 0.741 0.053
Er 0.897 0.259 0.947
Er 0.603 0.053 0.741
Er 0.397 0.947 0.259
Tm 0.250 0.500 0.500
Tm 0.750 0.500 0.500
Tm 0.503 0.747 0.747
Tm 0.997 0.253 0.253
Tm 0.497 0.253 0.253
Tm 0.003 0.747 0.747
Tm 0.098 0.558 0.247
Tm 0.902 0.442 0.753
Tm 0.598 0.247 0.558
Tm 0.402 0.753 0.442

8.
A geometry-optimized PmEr12Tm7 structure. Source: Alexandria via LeMat-Bulk, functional PBE-GGA.

Properties
energy of formation from the pure elements	6.9	eV/f.u.
DOS at the Fermi energy	1.33	states/eV per atom
E above lowest polymorph	2.06	eV/f.u.

a = 6.611 Å, b = 10.852 Å, c = 10.852 Å
α = 64.01°, β = 78.28°, γ = 101.72°
Fractional positions:
Pm 0.000 0.000 0.000
Er 0.701 0.456 0.062
Er 0.237 0.938 0.518
Er 0.207 0.212 0.214
Er 0.578 0.786 0.427
Er 0.755 0.518 0.544
Er 0.005 0.427 0.788
Er 0.995 0.573 0.212
Er 0.245 0.482 0.456
Er 0.422 0.214 0.573
Er 0.793 0.788 0.786
Er 0.763 0.062 0.482
Er 0.299 0.544 0.938
Tm 0.695 0.135 0.172
Tm 0.134 0.828 0.306
Tm 0.440 0.306 0.865
Tm 0.500 0.000 0.000
Tm 0.560 0.694 0.135
Tm 0.866 0.172 0.694
Tm 0.305 0.865 0.828

9.
A geometry-optimized PmEr6Tm3 structure. Source: Alexandria via LeMat-Bulk, functional PBE-GGA.

Properties
energy of formation from the pure elements	2.8	eV/f.u.
DOS at the Fermi energy	1.95	states/eV per atom
E above lowest polymorph	1.31	eV/f.u.

a = 9.686 Å, b = 9.686 Å, c = 6.812 Å
α = 44.69°, β = 44.69°, γ = 60.00°
Fractional positions:
Pm 0.897 0.897 0.310
Er 0.909 0.566 0.287
Er 0.239 0.909 0.287
Er 0.566 0.239 0.287
Er 0.070 0.409 0.784
Er 0.737 0.070 0.784
Er 0.409 0.737 0.784
Tm 0.394 0.394 0.819
Tm 0.638 0.638 0.087
Tm 0.143 0.143 0.572

10.
A geometry-optimized Pm3ErTm12 structure. Source: Alexandria via LeMat-Bulk, functional PBE-GGA.

Properties
energy of formation from the pure elements	0.4	eV/f.u.
DOS at the Fermi energy	1.39	states/eV per atom

a = 4.975 Å, b = 4.975 Å, c = 19.920 Å
α = 90.00°, β = 90.00°, γ = 90.00°
Fractional positions:
Pm 0.000 0.000 0.249
Pm 0.000 0.000 0.500
Pm 0.000 0.000 0.751
Er 0.000 0.000 0.000
Tm 0.500 0.500 0.000
Tm 0.500 0.500 0.249
Tm 0.500 0.500 0.500
Tm 0.500 0.500 0.751
Tm 0.500 0.000 0.123
Tm 0.500 0.000 0.375
Tm 0.500 0.000 0.625
Tm 0.500 0.000 0.877
Tm 0.000 0.500 0.123
Tm 0.000 0.500 0.375
Tm 0.000 0.500 0.625
Tm 0.000 0.500 0.877

11.
A geometry-optimized Pm5Er6Tm2 structure. Source: Alexandria via LeMat-Bulk, functional PBE-GGA.

Properties
energy of formation from the pure elements	1.3	eV/f.u.
DOS at the Fermi energy	1.22	states/eV per atom

a = 3.570 Å, b = 11.566 Å, c = 20.404 Å
α = 90.00°, β = 90.00°, γ = 90.00°
Fractional positions:
Pm 0.500 0.302 0.449
Pm 0.500 0.698 0.551
Pm 0.500 0.802 0.051
Pm 0.500 0.198 0.949
Pm 0.500 0.584 0.272
Pm 0.500 0.416 0.728
Pm 0.500 0.084 0.228
Pm 0.500 0.916 0.772
Pm 0.500 0.500 0.000
Pm 0.500 0.000 0.500
Er 0.000 0.081 0.369
Er 0.000 0.919 0.631
Er 0.000 0.581 0.131
Er 0.000 0.419 0.869
Er 0.500 0.326 0.139
Er 0.500 0.674 0.861
Er 0.500 0.826 0.361
Er 0.500 0.174 0.639
Er 0.000 0.562 0.418
Er 0.000 0.438 0.582
Er 0.000 0.062 0.082
Er 0.000 0.938 0.918
Tm 0.000 0.329 0.291
Tm 0.000 0.671 0.709
Tm 0.000 0.829 0.209
Tm 0.000 0.171 0.791

12.
A geometry-optimized Pm7Er2Tm3 structure. Source: Alexandria via LeMat-Bulk, functional PBE-GGA.

Properties
energy of formation from the pure elements	0.9	eV/f.u.
DOS at the Fermi energy	1.49	states/eV per atom
E above lowest polymorph	0.00	eV/f.u.

a = 3.562 Å, b = 6.417 Å, c = 17.297 Å
α = 90.20°, β = 90.00°, γ = 90.00°
Fractional positions:
Pm 0.500 0.241 0.494
Pm 0.500 0.759 0.506
Pm 0.000 0.678 0.167
Pm 0.000 0.000 0.000
Pm 0.000 0.322 0.833
Pm 0.500 0.824 0.829
Pm 0.500 0.176 0.171
Er 0.500 0.512 0.329
Er 0.500 0.488 0.671
Tm 0.500 0.500 0.000
Tm 0.000 0.999 0.342
Tm 0.000 0.001 0.658